DFT (GGA-PBE) results for a geometry-optimized Nd2Dy2Sc3 structure.

Structure (POSCAR):
```
Nd2Dy2Sc3
1.0
-4.704 4.704 4.704
4.704 -4.704 4.704
4.704 4.704 -4.704
Nd Dy Sc
4 4 6
Direct
0.000 0.673 0.500 Nd
0.500 0.000 0.673 Nd
0.673 0.500 0.000 Nd
0.827 0.827 0.827 Nd
0.000 0.072 0.500 Dy
0.072 0.500 0.000 Dy
0.428 0.428 0.428 Dy
0.500 0.000 0.072 Dy
0.208 0.958 0.250 Sc
0.250 0.208 0.958 Sc
0.292 0.542 0.750 Sc
0.542 0.750 0.292 Sc
0.750 0.292 0.542 Sc
0.958 0.250 0.208 Sc
```

Values from the calculation:
The total energy comes out at -5.17 eV/atom. The value obtained for the density of states at the Fermi level is 20.52 states/eV per cell. As for the formation energy: 1.53 eV/f.u.

***

DFT (GGA-PBE) results for a geometry-optimized NdDy3Sc3 structure.

Structure (POSCAR):
```
NdDy3Sc3
1.0
5.267 3.041 2.214
-5.267 3.041 2.214
0.000 -6.081 2.214
Nd Dy Sc
1 3 3
Direct
0.000 0.000 0.000 Nd
0.079 0.497 0.497 Dy
0.497 0.079 0.497 Dy
0.497 0.497 0.079 Dy
0.519 0.996 0.996 Sc
0.996 0.519 0.996 Sc
0.996 0.996 0.519 Sc
```

Values from the calculation:
The total energy comes out at -5.09 eV/atom. The value obtained for the density of states at the Fermi level is 11.71 states/eV per cell. As for the formation energy: 1.90 eV/f.u.

***

DFT (GGA-PBE) results for a geometry-optimized Nd5Dy6Sc structure.

Structure (POSCAR):
```
Nd5Dy6Sc
1.0
-2.533 5.050 7.601
2.533 -5.050 7.601
2.533 5.050 -7.601
Nd Dy Sc
5 6 1
Direct
0.000 0.000 0.000 Nd
0.166 0.666 0.500 Nd
0.336 0.336 0.000 Nd
0.664 0.664 0.000 Nd
0.834 0.334 0.500 Nd
0.088 0.835 0.253 Dy
0.255 0.500 0.755 Dy
0.418 0.165 0.253 Dy
0.582 0.835 0.747 Dy
0.745 0.500 0.245 Dy
0.912 0.165 0.747 Dy
0.500 0.000 0.500 Sc
```

Values from the calculation:
The total energy comes out at -4.78 eV/atom. The value obtained for the density of states at the Fermi level is 17.77 states/eV per cell. As for the formation energy: 0.37 eV/f.u.

***

DFT (GGA-PBE) results for a geometry-optimized Nd5Dy2Sc2 structure.

Structure (POSCAR):
```
Nd5Dy2Sc2
1.0
-9.651 4.279 3.564
9.651 -4.279 3.564
9.651 4.279 -3.564
Nd Dy Sc
10 4 4
Direct
0.229 0.108 0.337 Nd
0.229 0.392 0.621 Nd
0.253 0.662 0.913 Nd
0.253 0.840 0.091 Nd
0.704 0.500 0.705 Nd
0.748 0.162 0.909 Nd
0.748 0.340 0.087 Nd
0.771 0.608 0.379 Nd
0.771 0.892 0.663 Nd
0.795 0.000 0.295 Nd
0.195 0.003 0.692 Dy
0.282 0.282 0.000 Dy
0.282 0.782 0.500 Dy
0.311 0.503 0.308 Dy
0.617 0.215 0.325 Sc
0.617 0.791 0.902 Sc
0.890 0.291 0.675 Sc
0.890 0.715 0.098 Sc
```

Values from the calculation:
The total energy comes out at -4.87 eV/atom. The value obtained for the density of states at the Fermi level is 26.41 states/eV per cell. As for the formation energy: 1.86 eV/f.u.